(1)
Computed, not measured: ZrHgAs2 after structural relaxation at the GGA-PBE level of DFT.

Values from the calculation:
VASP energy = -0.336 Ry per atom
Calculated formation energy = -34 meV per atom
Density of states at the Fermi level = 0.503 states/eV per atom

Cell and atoms, written as CIF:
```
data_ZrHgAs2
_cell_length_a 3.120
_cell_length_b 3.120
_cell_length_c 9.207
_cell_angle_alpha 90.00
_cell_angle_beta 90.00
_cell_angle_gamma 102.96
_symmetry_space_group_name_H-M 'P 1'
_symmetry_Int_Tables_number 1
loop_
_symmetry_equiv_pos_as_xyz
'x,y,z'
loop_
_atom_site_label
_atom_site_type_symbol
_atom_site_fract_x
_atom_site_fract_y
_atom_site_fract_z
_atom_site_occupancy
Zr1 Zr 0.000 0.000 0.000 1
Hg1 Hg 0.500 0.500 0.750 1
As1 As 0.000 0.000 0.519 1
As2 As 0.500 0.500 0.207 1
```

(2)
Computed, not measured: InP2Br after structural relaxation at the GGA-PBE level of DFT.

Values from the calculation:
VASP energy = -0.273 Ry per atom
Excess energy over the best structure of this formula in the dataset = 0.207 eV per atom
Density of states at the Fermi level = 0.462 states/eV per atom
Formation energy without anion corrections = 0.0972 eV per atom

Cell and atoms, written as CIF:
```
data_InP2Br
_cell_length_a 4.154
_cell_length_b 4.154
_cell_length_c 9.508
_cell_angle_alpha 90.00
_cell_angle_beta 90.00
_cell_angle_gamma 131.44
_symmetry_space_group_name_H-M 'P 1'
_symmetry_Int_Tables_number 1
loop_
_symmetry_equiv_pos_as_xyz
'x,y,z'
loop_
_atom_site_label
_atom_site_type_symbol
_atom_site_fract_x
_atom_site_fract_y
_atom_site_fract_z
_atom_site_occupancy
In1 In 0.000 0.000 0.000 1
P1 P 0.000 0.000 0.425 1
P2 P 0.500 0.500 0.285 1
Br1 Br 0.500 0.500 0.771 1
```

(3)
Computed, not measured: Sc4CdRh2 after structural relaxation at the GGA-PBE level of DFT.

Values from the calculation:
VASP energy = -0.473 Ry per atom
Calculated formation energy = -590 meV per atom
Density of states at the Fermi level = 0.716 states/eV per atom

Cell and atoms, written as CIF:
```
data_Sc4CdRh2
_cell_length_a 4.788
_cell_length_b 4.788
_cell_length_c 13.951
_cell_angle_alpha 90.00
_cell_angle_beta 90.00
_cell_angle_gamma 120.02
_symmetry_space_group_name_H-M 'P 1'
_symmetry_Int_Tables_number 1
loop_
_symmetry_equiv_pos_as_xyz
'x,y,z'
loop_
_atom_site_label
_atom_site_type_symbol
_atom_site_fract_x
_atom_site_fract_y
_atom_site_fract_z
_atom_site_occupancy
Sc1 Sc 0.000 0.000 0.000 1
Sc2 Sc 0.000 0.000 0.500 1
Sc3 Sc 0.333 0.667 0.627 1
Sc4 Sc 0.333 0.667 0.873 1
Sc5 Sc 0.334 0.666 0.250 1
Sc6 Sc 0.666 0.334 0.750 1
Sc7 Sc 0.667 0.333 0.127 1
Sc8 Sc 0.667 0.333 0.373 1
Cd1 Cd 0.001 0.999 0.250 1
Cd2 Cd 0.999 0.001 0.750 1
Rh1 Rh 0.333 0.667 0.059 1
Rh2 Rh 0.333 0.667 0.441 1
Rh3 Rh 0.667 0.333 0.559 1
Rh4 Rh 0.667 0.333 0.941 1
```

> Which value of VASP energy does entry 3 give?

-0.473 Ry per atom